KAuF2 at its PBEsol-relaxed geometry, computed with SCAN.

The value obtained for the electronic total energy is -22.95 eV/atom. The value obtained for the uncorrected formation energy is -1.80 eV/atom. As for the crystal system: trigonal. The magnetization is 0.00 μB per formula unit. For the density of states at the Fermi level, the calculation gives 0.00 states/eV/cell. The volume comes out at 21.6 Å³/atom.

The space group is R-3m (No. 166, hexagonal axes) and the conventional cell measures 3.9207, 3.9207 and 19.4836 Å, with angles of 90.00, 90.00 and 120.00 degrees. The distinct sites, in fractional coordinates, are K at (0.0000, 0.0000, 0.0000), Au at (0.0000, 0.0000, 0.5000) and F at (0.0000, 0.0000, 0.3982).